A plane-wave DFT calculation with PBE with a Hubbard U was carried out for a geometry-optimized TmCrBi2O6 structure. Values from VASP.

Results
**Electronic total energy**: -69.3 eV for the cell shown

```
&SYSTEM
  ibrav = 0, nat = 10, ntyp = 4
/
ATOMIC_SPECIES
Tm 168.93 Tm.upf
Cr 52.00 Cr.upf
Bi 208.98 Bi.upf
O 16.00 O.upf
CELL_PARAMETERS angstrom
5.782 0.000 0.000
2.890 5.006 0.000
2.892 1.669 4.856
ATOMIC_POSITIONS crystal
Tm 0.310 0.310 0.071
Cr 0.819 0.819 0.543
Bi 0.528 0.527 0.418
Bi 0.031 0.031 0.908
O 0.614 0.147 0.272
O 0.147 0.967 0.272
O 0.967 0.614 0.273
O 0.489 0.665 0.753
O 0.665 0.093 0.752
O 0.093 0.489 0.753
```